Entry 1:
Compound: RbPtI
Source: Alexandria via LeMat-Bulk
Functional: PBE
Structure: relaxed

## Properties
The symmetry is P4/nmm (129). As for the raw formation energy: -0.116 eV/atom. As for the energy above the most stable polymorph in this dataset: 42.4 kJ/mol of atoms.

The structure in extended XYZ format:
```
6
Lattice="-1.554 2.480 4.953 -3.731 -4.271 0.968 4.434 -3.196 2.992" Properties=species:S:1:pos:R:3 pbc="T T T"
I 2.217 -1.598 1.496
I -0.426 -2.494 4.456
Rb -1.848 -2.148 0.496
Rb 3.639 -1.944 5.456
Pt 0.366 -3.744 1.989
Pt 1.426 -0.348 3.963
```


Entry 2:
Compound: RbPtI
Source: Alexandria via LeMat-Bulk
Functional: PBE
Structure: relaxed

## Properties
The symmetry is Cm (8). As for the raw formation energy: -0.513 eV/atom. As for the energy above the most stable polymorph in this dataset: 4.0 kJ/mol of atoms.

The structure in extended XYZ format:
```
6
Lattice="-6.604 -6.586 1.327 1.844 -2.766 5.328 -2.660 2.848 0.898" Properties=species:S:1:pos:R:3 pbc="T T T"
I -2.150 1.039 1.160
I -3.539 -3.157 1.448
Pt -6.187 -3.025 2.092
Pt -6.109 -5.678 1.833
Rb -6.551 -4.306 5.076
Rb -3.247 -1.012 4.414
```


Entry 3:
Compound: RbPtI
Source: Alexandria via LeMat-Bulk
Functional: PBE
Structure: relaxed

## Properties
The symmetry is P6_3/mmc (194). As for the raw formation energy: -0.388 eV/atom. As for the energy above the most stable polymorph in this dataset: 16.1 kJ/mol of atoms.

The structure in extended XYZ format:
```
6
Lattice="4.035 -2.329 0.000 0.000 4.659 0.000 0.000 0.000 10.542" Properties=species:S:1:pos:R:3 pbc="T T T"
I 1.345 2.329 7.907
I 2.690 0.000 2.636
Rb 0.000 0.000 0.000
Rb 0.000 0.000 5.271
Pt 1.345 2.329 2.636
Pt 2.690 0.000 7.907
```


Entry 4:
Compound: RbPtI
Source: Alexandria via LeMat-Bulk
Functional: PBE
Structure: relaxed

## Properties
The symmetry is Pnma (62). As for the raw formation energy: -0.539 eV/atom. As for the energy above the most stable polymorph in this dataset: 1.6 kJ/mol of atoms.

The structure in extended XYZ format:
```
12
Lattice="11.213 0.000 0.000 0.000 3.995 0.000 0.000 0.000 9.887" Properties=species:S:1:pos:R:3 pbc="T T T"
I 0.381 0.999 7.193
I 5.225 2.996 2.249
I 10.831 2.996 2.694
I 5.988 0.999 7.638
Rb 8.592 0.999 4.960
Rb 8.227 2.996 0.016
Rb 2.621 2.996 4.928
Rb 2.986 0.999 9.871
Pt 5.445 0.999 4.081
Pt 0.161 2.996 9.025
Pt 5.767 2.996 5.806
Pt 11.052 0.999 0.862
```


Entry 5:
Compound: RbPtI2
Source: Alexandria via LeMat-Bulk
Functional: PBE
Structure: relaxed

## Properties
The symmetry is I-42d (122). As for the raw formation energy: -0.410 eV/atom. As for the energy above the most stable polymorph in this dataset: 0.0 kJ/mol of atoms.

The structure in extended XYZ format:
```
8
Lattice="-3.641 -5.650 2.117 3.903 -0.320 5.858 -4.688 1.414 7.440" Properties=species:S:1:pos:R:3 pbc="T T T"
I -3.400 -3.902 4.172
I 1.253 0.131 5.529
I -3.890 -1.140 7.861
I -2.813 -4.202 13.267
Rb 0.131 -2.985 3.987
Rb -0.327 -0.946 8.643
Pt 0.000 0.000 0.000
Pt -4.099 -3.611 6.772
```


Entry 6:
Compound: Rb3Pt2I9
Source: Alexandria via LeMat-Bulk
Functional: PBE
Structure: relaxed

## Properties
The symmetry is R-3c (167). As for the raw formation energy: -0.667 eV/atom.

The structure in extended XYZ format:
```
28
Lattice="-8.341 6.390 -4.237 -7.854 -6.749 -4.596 -8.942 -0.521 6.938" Properties=species:S:1:pos:R:3 pbc="T T T"
Rb -10.114 -2.469 -4.592
Rb -14.505 -4.870 -1.182
Rb -14.461 1.741 -4.832
Rb -10.676 -2.621 2.937
Rb -10.632 3.990 -0.714
Rb -15.024 1.589 2.697
Pt -4.509 -0.158 -0.340
Pt -17.078 -0.598 -1.287
Pt -20.628 -0.722 -1.555
Pt -8.060 -0.282 -0.608
I -13.320 -1.393 -6.617
I -11.030 -5.697 -2.846
I -6.106 -1.239 -2.361
I -15.364 -1.562 -3.223
I -18.773 -2.809 -1.480
I -18.755 0.471 -3.249
I -9.492 -2.626 -0.864
I -9.483 0.938 -2.631
I -11.248 3.990 -4.446
I -13.889 -4.870 2.551
I -15.654 -1.818 0.736
I -6.364 1.929 -0.415
I -15.645 1.746 -1.031
I -6.383 -1.351 1.354
I -9.773 0.682 1.328
I -19.031 0.359 0.465
I -14.108 4.817 0.951
I -11.818 0.514 4.722
```


Entry 7:
Compound: RbPtI
Source: Alexandria via LeMat-Bulk
Functional: PBE
Structure: relaxed

## Properties
The symmetry is P-1 (2). As for the raw formation energy: -0.539 eV/atom. As for the energy above the most stable polymorph in this dataset: 1.6 kJ/mol of atoms.

The structure in extended XYZ format:
```
6
Lattice="-5.797 -0.914 -4.592 2.504 -0.921 -2.976 0.234 -7.132 2.361" Properties=species:S:1:pos:R:3 pbc="T T T"
I -3.348 -6.183 -2.285
I 0.289 -2.783 -2.922
Rb -3.427 -2.618 -3.416
Rb 0.369 -6.349 -1.790
Pt 0.092 -0.880 -0.993
Pt -3.150 -8.087 -4.214
```


Entry 8:
Compound: Rb3PtI8
Source: Alexandria via LeMat-Bulk
Functional: PBE
Structure: relaxed

## Properties
The symmetry is P6_3mc (186). As for the raw formation energy: -0.748 eV/atom.

The structure in extended XYZ format:
```
24
Lattice="9.963 0.000 0.000 0.000 9.592 -5.538 0.000 0.000 11.076" Properties=species:S:1:pos:R:3 pbc="T T T"
Rb 7.044 6.705 5.538
Rb 7.044 1.443 2.500
Rb 7.044 1.443 8.576
Rb 2.063 2.887 0.000
Rb 2.063 8.149 3.038
Rb 2.063 8.149 -3.038
Pt 1.468 3.197 5.538
Pt 6.449 6.395 0.000
I 9.906 0.978 5.538
I 9.906 4.307 7.460
I 9.906 4.307 3.616
I 4.925 8.614 0.000
I 4.925 5.285 -1.922
I 4.925 5.285 1.922
I 8.008 4.155 0.000
I 8.008 7.515 1.940
I 8.008 7.515 -1.940
I 3.027 5.438 5.538
I 3.027 2.077 3.598
I 3.027 2.077 7.478
I 6.500 3.197 5.538
I 1.519 6.395 0.000
I 9.541 0.000 0.000
I 4.560 0.000 0.000
```